BC3: optimized geometry, PBE.

Properties
As for the calculated total energy: -8.255 eV/atom. The calculation puts the magnetic moment at 0.000 Bohr magnetons per cell. Its space group is P1. The energy relative to the lowest polymorph listed for this composition is 92 meV/atom.

Unit cell a=4.5684 b=4.5332 c=4.3627 alpha=102.52 beta=95.07 gamma=120.47
Positions (direct):
B 0.1976 0.8296 0.5035
B 0.9965 0.7057 0.0949
B 0.3536 0.6718 0.0323
C 0.5016 0.4933 0.5079
C 0.3765 0.3641 0.1354
C 0.2052 0.5341 0.6354
C 0.8395 0.1739 0.4974
C 0.7222 0.0608 0.1283
C 0.6448 0.3142 0.9971
C 0.5588 0.2188 0.6300
C 0.9896 0.0084 0.9828
C 0.8641 0.8751 0.6050



Hf2TiBeC: optimized geometry, PBE.

Properties
As for the calculated total energy: -6.002 eV/atom. The calculation puts the magnetic moment at 0.000 Bohr magnetons per cell. Its space group is P4/mmm. The energy relative to the lowest polymorph listed for this composition is 939 meV/atom.

Unit cell a=4.7883 b=4.1130 c=4.7883 alpha=90.00 beta=90.00 gamma=90.00
Positions (direct):
Be 0.0000 0.5000 0.0000
C 0.5000 0.5000 0.5000
Hf 0.0000 0.0000 0.5000
Hf 0.5000 0.0000 0.0000
Ti 0.0000 0.0000 0.0000



What is the magnetic moment in the first record? 0.000 Bohr magnetons per cell



Which value of magnetic moment does entry 1 give? 0.000 Bohr magnetons per cell



Look up the calculated total energy of the second one. -6.002 eV/atom